SiBMo2: relaxed, PBE.

Structure (extended XYZ):
```
4
Lattice="0.000 2.940 2.940 2.940 0.000 2.940 2.940 2.940 0.000" Properties=species:S:1:pos:R:3 pbc="T T T"
Mo 1.470 1.470 1.470
Mo 4.409 4.409 4.409
B 0.000 0.000 0.000
Si 2.940 2.940 2.940
```

Computed properties:
As for the mass density: 7.54 g/cm3. The calculation puts the total DFT energy (no corrections) at -8.21 eV per atom. The value obtained for the energy above the most stable polymorph in this dataset is 0.505 eV per atom. The calculation puts the formation energy from raw total energies at 0.23 eV per atom. The space group is Fm-3m.



Zr12CuHg3: relaxed, PBE.

Structure (extended XYZ):
```
16
Lattice="-3.598 0.025 2.581 0.811 -4.192 1.172 9.755 5.674 13.546" Properties=species:S:1:pos:R:3 pbc="T T T"
Zr -1.394 -2.083 1.876
Zr 0.993 -0.695 5.190
Zr 3.484 0.753 8.649
Zr 5.975 2.202 12.108
Zr -0.652 0.680 2.883
Zr 1.840 2.129 6.343
Zr 4.318 3.570 9.784
Zr 6.809 5.019 13.243
Zr 1.553 -1.429 2.179
Zr 4.044 0.020 5.639
Zr 6.522 1.461 9.079
Zr 9.014 2.910 12.539
Cu 0.000 0.000 0.000
Hg 2.401 1.396 3.334
Hg 4.878 2.837 6.773
Hg 7.355 4.277 10.213
```

Computed properties:
As for the mass density: 8.45 g/cm3. For the formation enthalpy at 0 K, the calculation gives -1.409 eV/f.u. The calculation puts the total DFT energy (no corrections) at -6.81 eV per atom. The space group is P4/mmm.



La2Cu12Ni3Pt: relaxed, PBE.

Structure (extended XYZ):
```
18
Lattice="9.612 2.147 1.523 6.613 7.298 1.523 6.613 3.849 6.384" Properties=species:S:1:pos:R:3 pbc="T T T"
La 14.738 8.579 6.085
La 8.100 4.715 3.344
Cu 12.070 7.026 6.427
Cu 17.498 10.185 5.139
Cu 15.786 11.157 7.914
Cu 13.255 6.353 4.506
Cu 17.498 8.217 7.914
Cu 12.070 8.388 4.506
Cu 10.768 6.268 3.002
Cu 5.341 3.109 4.290
Cu 7.052 2.137 1.516
Cu 9.583 6.940 4.923
Cu 5.341 5.077 1.516
Cu 10.768 4.906 4.923
Ni 4.806 1.073 0.761
Ni 3.307 3.649 0.761
Ni 3.307 1.925 3.192
Pt 0.000 0.000 0.000
```

Computed properties:
As for the mass density: 8.15 g/cm3. For the formation enthalpy at 0 K, the calculation gives 3.048 eV/f.u. The calculation puts the total DFT energy (no corrections) at -4.41 eV per atom. The space group is R-3m.



Ca2HgPd: relaxed, PBE.

Structure (extended XYZ):
```
4
Lattice="-3.851 -3.815 -6.762 4.237 0.039 7.560 0.147 3.667 7.852" Properties=species:S:1:pos:R:3 pbc="T T T"
Ca 0.710 0.600 2.496
Ca 3.674 3.105 12.916
Hg 2.192 1.853 7.706
Pd 0.000 0.000 0.000
```

Computed properties:
As for the mass density: 5.22 g/cm3. For the formation enthalpy at 0 K, the calculation gives -0.845 eV/f.u. The calculation puts the total DFT energy (no corrections) at -2.59 eV per atom. The space group is Immm.



SiHg12F7: relaxed, PBE.

Structure (extended XYZ):
```
20
Lattice="0.974 8.501 -0.371 -8.058 -2.169 1.927 5.605 -3.584 5.393" Properties=species:S:1:pos:R:3 pbc="T T T"
Si 0.000 0.000 0.000
Hg 4.674 0.814 4.848
Hg 1.095 -3.413 5.758
Hg -1.053 -1.311 3.613
Hg -3.288 0.678 4.063
Hg 2.839 5.601 2.564
Hg 1.041 0.230 5.162
Hg -2.520 2.518 1.787
Hg -4.318 -2.853 4.385
Hg 1.809 2.070 2.885
Hg -0.426 4.059 3.335
Hg -2.574 6.162 1.191
Hg -6.152 1.934 2.101
F -1.539 1.083 6.509
F -1.497 -0.175 0.836
F 0.859 -0.419 1.434
F -0.739 1.374 3.474
F -2.338 3.167 5.515
F 0.018 2.923 6.113
F 0.061 1.665 0.440
```

Computed properties:
As for the mass density: 9.66 g/cm3. The calculation puts the total DFT energy (no corrections) at -2.22 eV per atom. The calculation puts the formation energy from raw total energies at -1.12 eV per atom. The space group is R-3m.



Tm2InCu2: relaxed, PBE.

Structure (extended XYZ):
```
10
Lattice="3.676 0.000 0.000 0.000 7.473 0.000 0.000 0.000 7.473" Properties=species:S:1:pos:R:3 pbc="T T T"
Tm 1.838 1.269 5.006
Tm 1.838 2.468 1.269
Tm 1.838 5.006 6.204
Tm 1.838 6.204 2.468
Cu 0.000 0.910 2.827
Cu 0.000 2.827 6.563
Cu 0.000 4.647 0.910
Cu 0.000 6.563 4.647
In 0.000 0.000 0.000
In 0.000 3.737 3.737
```

Computed properties:
As for the mass density: 9.38 g/cm3. For the formation enthalpy at 0 K, the calculation gives -2.036 eV/f.u. The calculation puts the total DFT energy (no corrections) at -4.38 eV per atom. The space group is P4/mbm.